(1)
## TePdI (PBE)

Data for a relaxed TePdI crystal.

Formation energy without anion corrections: -29.91 kJ/mol of atoms
Crystal system: tetragonal
E_tot: -3.605 eV/atom

The structure in POSCAR format:
```
TePdI
1.0
8.052 0.000 0.000
0.000 8.052 0.000
0.000 0.000 5.729
Te Pd I
4 4 4
Cartesian
0.000 1.709 0.000 Te
1.709 0.000 2.864 Te
6.343 0.000 2.864 Te
0.000 6.343 0.000 Te
2.010 0.000 0.000 Pd
0.000 6.043 2.864 Pd
0.000 2.010 2.864 Pd
6.043 0.000 0.000 Pd
4.026 1.885 0.000 I
1.885 4.026 2.864 I
6.167 4.026 2.864 I
4.026 6.167 0.000 I
```

(2)
## SrTl4Cd3 (PBE)

Data for a relaxed SrTl4Cd3 crystal.

Crystal system: tetragonal
E_tot: -1.837 eV/atom
Energy relative to the elements: -100.8 meV per atom

The structure in POSCAR format:
```
SrTl4Cd3
1.0
5.074 0.000 0.000
0.000 8.841 0.000
0.000 0.000 10.144
Sr Tl Cd
2 8 6
Cartesian
0.000 4.421 0.000 Sr
0.000 4.421 5.072 Sr
2.537 6.829 0.000 Tl
2.537 6.829 5.072 Tl
2.537 2.012 0.000 Tl
2.537 2.012 5.072 Tl
5.072 6.830 7.608 Tl
0.002 6.830 2.536 Tl
0.002 2.012 2.536 Tl
5.072 2.012 7.608 Tl
0.000 0.000 0.000 Cd
0.000 0.000 5.072 Cd
2.534 0.000 7.608 Cd
2.539 0.000 2.536 Cd
2.536 4.421 7.608 Cd
2.537 4.421 2.536 Cd
```

(3)
## La2DyHg2 (PBE)

Data for a relaxed La2DyHg2 crystal.

Crystal system: orthorhombic
E_tot: -3.334 eV/atom
E above lowest polymorph: 0.245 eV/f.u.
Energy relative to the elements: -322.2 meV per atom

The structure in POSCAR format:
```
La2DyHg2
1.0
-0.817 2.038 3.423
-5.929 3.011 -0.792
-4.930 -3.241 3.168
La Dy Hg
2 1 2
Cartesian
-3.321 0.361 1.408 La
-8.355 1.447 4.391 La
0.000 0.000 0.000 Dy
-5.634 -0.376 3.710 Hg
-6.042 2.184 2.089 Hg
```

(4)
## Be2ZnSi (PBE)

Data for a relaxed Be2ZnSi crystal.

Formation energy without anion corrections: 38.31 kJ/mol of atoms
Crystal system: tetragonal
E_tot: -3.140 eV/atom
E above lowest polymorph: 0.496 eV/f.u.

The structure in POSCAR format:
```
Be2ZnSi
1.0
3.700 0.000 0.000
0.000 3.700 0.000
1.850 1.850 7.603
Be Zn Si
4 2 2
Cartesian
2.726 0.925 1.901 Be
0.974 2.775 1.901 Be
2.775 2.824 5.702 Be
4.626 4.577 5.702 Be
0.000 0.000 0.000 Zn
3.700 1.850 3.802 Zn
1.850 1.850 0.000 Si
1.850 3.700 3.802 Si
```

(5)
## PrGdCdGe (PBE)

Data for a relaxed PrGdCdGe crystal.

Crystal system: cubic
E_tot: -6.582 eV/atom
Energy relative to the elements: -484.0 meV per atom

The structure in POSCAR format:
```
PrGdCdGe
1.0
-3.692 1.318 3.529
1.015 -0.415 5.159
0.586 4.346 2.931
Pr Ge Gd Cd
1 1 1 1
Cartesian
0.000 0.000 0.000 Pr
-0.523 1.312 2.905 Ge
-1.045 2.624 5.809 Gd
-1.568 3.937 8.714 Cd
```

(6)
## RbGdBi2 (PBE)

Data for a relaxed RbGdBi2 crystal.

Crystal system: trigonal
E_tot: -6.083 eV/atom
E above lowest polymorph: 0.619 eV/f.u.
Energy relative to the elements: -380.3 meV per atom

The structure in POSCAR format:
```
RbGdBi2
1.0
-0.419 2.416 -4.267
-2.774 -1.857 -3.617
-7.478 4.159 0.251
Gd Bi Rb
1 2 1
Cartesian
0.000 0.000 0.000 Gd
-2.201 0.890 -2.118 Bi
-8.470 3.828 -5.515 Bi
-5.335 2.359 -3.817 Rb
```

| no. | DOS(E_F) (states/eV/cell) |
| --- | --- |
| 1 | 3.53 |
| 2 | 6.15 |
| 3 | 5.40 |
| 4 | 2.59 |
| 5 | 3.85 |
| 6 | 3.59 |